Below is a geometry-optimized PuCuNiO4 structure, with properties calculated at the PBE with a Hubbard U level.

Cell lengths 5.5195, 5.5195, 6.3872 Å; angles 90.00, 90.00, 118.48 degrees
Sites, in units of the cell vectors:
Pu1 0.1639 0.8361 0.7500
Pu2 0.8361 0.1639 0.2500
Cu1 0.1526 0.8474 0.2500
Cu2 0.8474 0.1526 0.7500
Ni1 0.5000 0.5000 0.0000
Ni2 0.5000 0.5000 0.5000
O1 0.2518 0.2599 0.7500
O2 0.2599 0.2518 0.2500
O3 0.2853 0.7147 0.0181
O4 0.2853 0.7147 0.4819
O5 0.7147 0.2853 0.5181
O6 0.7147 0.2853 0.9819
O7 0.7401 0.7482 0.7500
O8 0.7482 0.7401 0.2500

Computed properties:
DOS(E_F): 1.161 states/eV/atom
Calculated total energy: -7.354 eV per atom
Symmetry: Cmcm, No. 63